This record from the Alexandria database describes an optimized crystal structure of HgP2. The functional is PBE.

```
data_HgP2
_cell_length_a 4.999
_cell_length_b 4.999
_cell_length_c 9.236
_cell_angle_alpha 90.00
_cell_angle_beta 90.00
_cell_angle_gamma 90.00
_space_group_name_H-M_alt 'I 41/a m d'
_space_group_IT_number 141
loop_
_space_group_symop_operation_xyz
'x,y,z'
'-x,-y,-z'
'-y+1/4,x+3/4,z+1/4'
'y+1/4,-x+3/4,-z+1/4'
'-x+1/2,-y,z+1/2'
'x+1/2,y,-z+1/2'
'y+1/4,-x+1/4,z+3/4'
'-y+1/4,x+1/4,-z+3/4'
'x,-y,-z'
'-x,y,z'
'-y+1/4,-x+1/4,-z+3/4'
'y+1/4,x+1/4,z+3/4'
'-x+1/2,y,-z+1/2'
'x+1/2,-y,z+1/2'
'y+1/4,x+3/4,-z+1/4'
'-y+1/4,-x+3/4,z+1/4'
'x+1/2,y+1/2,z+1/2'
'-x+1/2,-y+1/2,-z+1/2'
'-y+3/4,x+1/4,z+3/4'
'y+3/4,-x+1/4,-z+3/4'
'-x,-y+1/2,z'
'x,y+1/2,-z'
'y+3/4,-x+3/4,z+1/4'
'-y+3/4,x+3/4,-z+1/4'
'x+1/2,-y+1/2,-z+1/2'
'-x+1/2,y+1/2,z+1/2'
'-y+3/4,-x+3/4,-z+1/4'
'y+3/4,x+3/4,z+1/4'
'-x,y+1/2,-z'
'x,-y+1/2,z'
'y+3/4,x+1/4,-z+3/4'
'-y+3/4,-x+1/4,z+3/4'
loop_
_atom_site_label
_atom_site_fract_x
_atom_site_fract_y
_atom_site_fract_z
_atom_site_occupancy
Hg1 0.000 0.250 0.375 1
P1 0.000 0.250 0.756 1
```

Crystal system: tetragonal
Volume (Å³/cell): 231
Total moment (μB per atom): 0.000
Energy of formation from the pure elements (eV/atom): 0.26
Calculated density (g cm⁻³): 7.6
E (eV per atom): -3.445